P | 4
Lattice="0.000 3.740 3.740 3.740 0.000 3.740 3.740 3.740 0.000" Properties=species:S:1:pos:R:3 comment="GGA-PBE Li2EuSc, relaxed" m_tot_mub_per_fu=7.7 sg="Fm-3m (225)" pbc="T T T"
Li 1.870 1.870 1.870
Li 5.610 5.610 5.610
Eu 0.000 0.000 0.000
Sc 3.740 3.740 3.740



Q | 4
Lattice="3.700 0.000 0.000 0.000 3.700 0.000 0.000 0.000 7.618" Properties=species:S:1:pos:R:3 comment="GGA-PBE Li2EuSc, relaxed" m_tot_mub_per_fu=7.6 sg="P4/mmm (123)" pbc="T T T"
Li 0.000 0.000 1.624
Li 0.000 0.000 5.994
Eu 1.850 1.850 3.809
Sc 1.850 1.850 0.000



Relative to the most stable structure, the computed energies are P 0.029; Q 0.000, all in eV/atom.



P | 4
Lattice="3.713 0.000 0.000 0.000 3.713 0.000 0.000 0.000 9.242" Properties=species:S:1:pos:R:3 comment="GGA-PBE LiEu2Sc, relaxed" m_tot_mub_per_fu=15.9 sg="P4/mmm (123)" pbc="T T T"
Li 0.000 0.000 0.000
Eu 1.857 1.857 2.240
Eu 1.857 1.857 7.002
Sc 0.000 0.000 4.621



Q | 4
Lattice="5.766 0.000 0.000 0.000 5.766 0.000 0.000 0.000 3.832" Properties=species:S:1:pos:R:3 comment="GGA-PBE LiEu2Sc, relaxed" m_tot_mub_per_fu=14.8 sg="P4/mmm (123)" pbc="T T T"
Li 0.000 0.000 0.000
Eu 0.000 2.883 1.916
Eu 2.883 0.000 1.916
Sc 2.883 2.883 0.000



Relative to the most stable structure, the computed energies are P 0.000; Q 0.019, all in eV/atom.



P | 3
Lattice="5.626 0.000 0.000 -2.813 4.872 0.000 0.000 0.000 3.505" Properties=species:S:1:pos:R:3 comment="GGA-PBE LiSmEu, relaxed" m_tot_mub_per_fu=7.4 sg="P3m1 (156)" pbc="T T T"
Li 0.000 0.000 0.000
Sm 0.000 3.248 1.237
Eu 2.813 1.624 2.677



Q | 3
Lattice="-1.907 1.907 6.559 1.907 -1.907 6.559 1.907 1.907 -6.559" Properties=species:S:1:pos:R:3 comment="GGA-PBE LiSmEu, relaxed" m_tot_mub_per_fu=7.9 sg="I4mm (107)" pbc="T T T"
Li 0.000 0.000 0.000
Sm 0.000 0.000 8.437
Eu 0.000 0.000 4.512



Relative to the most stable structure, the computed energies are P 0.065; Q 0.000, all in eV/atom.



P | 4
Lattice="1.771 1.022 12.673 -1.771 1.022 12.673 0.000 -2.045 12.673" Properties=species:S:1:pos:R:3 comment="GGA-PBE LiSm2Eu, relaxed" m_tot_mub_per_fu=8.1 sg="R-3m (166)" pbc="T T T"
Li 0.000 0.000 0.000
Sm 0.000 0.000 3.275
Sm 0.000 0.000 34.744
Eu 0.000 0.000 19.010



Q | 4
Lattice="0.000 3.999 3.999 3.999 0.000 3.999 3.999 3.999 0.000" Properties=species:S:1:pos:R:3 comment="GGA-PBE LiSm2Eu, relaxed" m_tot_mub_per_fu=7.4 sg="Fm-3m (225)" pbc="T T T"
Li 0.000 0.000 0.000
Sm 1.999 1.999 1.999
Sm 5.998 5.998 5.998
Eu 3.999 3.999 3.999



Relative to the most stable structure, the computed energies are P 0.042; Q 0.000, all in eV/atom.



P | 4
Lattice="1.753 1.012 12.501 -1.753 1.012 12.501 0.000 -2.025 12.501" Properties=species:S:1:pos:R:3 comment="GGA-PBE LiTb2Eu, relaxed" m_tot_mub_per_fu=8.2 sg="R-3m (166)" pbc="T T T"
Li 0.000 0.000 0.000
Tb 0.000 0.000 3.229
Tb 0.000 0.000 34.272
Eu 0.000 0.000 18.751



Q | 4
Lattice="3.697 0.000 0.000 0.000 3.697 0.000 0.000 0.000 8.982" Properties=species:S:1:pos:R:3 comment="GGA-PBE LiTb2Eu, relaxed" m_tot_mub_per_fu=7.9 sg="P4/mmm (123)" pbc="T T T"
Li 0.000 0.000 0.000
Tb 1.849 1.849 1.834
Tb 1.849 1.849 7.148
Eu 0.000 0.000 4.491



R | 4
Lattice="5.597 0.000 0.000 0.000 5.597 0.000 0.000 0.000 3.938" Properties=species:S:1:pos:R:3 comment="GGA-PBE LiTb2Eu, relaxed" m_tot_mub_per_fu=7.4 sg="P4/mmm (123)" pbc="T T T"
Li 0.000 0.000 0.000
Tb 0.000 2.799 1.969
Tb 2.799 0.000 1.969
Eu 2.799 2.799 0.000



Relative to the most stable structure, the computed energies are P 0.139; Q 0.000; R 0.075, all in eV/atom.



P | 4
Lattice="3.684 0.000 0.000 0.000 3.684 0.000 0.000 0.000 9.783" Properties=species:S:1:pos:R:3 comment="GGA-PBE LiEu2Th, relaxed" m_tot_mub_per_fu=14.9 sg="P4/mmm (123)" pbc="T T T"
Li 0.000 0.000 0.000
Eu 1.842 1.842 2.316
Eu 1.842 1.842 7.467
Th 0.000 0.000 4.891



Q | 4
Lattice="1.752 1.012 12.657 -1.752 1.012 12.657 0.000 -2.023 12.657" Properties=species:S:1:pos:R:3 comment="GGA-PBE LiEu2Th, relaxed" m_tot_mub_per_fu=15.4 sg="R-3m (166)" pbc="T T T"
Li 0.000 0.000 0.000
Eu 0.000 0.000 15.508
Eu 0.000 0.000 22.462
Th 0.000 0.000 18.985



Relative to the most stable structure, the computed energies are P 0.000; Q 0.142, all in eV/atom.